DFT (PBE) results for a relaxed structure of Ti5Ga2Bi.

Lattice parameters (Å, degrees): 7.6801 7.6801 7.6801 126.48 126.48 79.11
Closest atoms and distances in Å follow each position.
Positions (direct):
Ti 0.0000 0.0000 0.0000  4 Ga 2.67, 2 Bi 2.96
Ti 0.0048 0.5048 0.8095  3 Ga 2.68-2.71, 2 Bi 2.87
Ti 0.1953 0.0048 0.5000  3 Ga 2.68-2.71, 2 Bi 2.87
Ti 0.3047 0.8047 0.8095  3 Ga 2.68-2.71, 2 Bi 2.87
Ti 0.4952 0.3047 0.5000  3 Ga 2.68-2.71, 2 Bi 2.87
Ti 0.5000 0.5000 0.0000  4 Ga 2.67, 2 Bi 2.96
Ti 0.5048 0.6953 0.5000  3 Ga 2.68-2.71, 2 Bi 2.87
Ti 0.6953 0.1953 0.1905  3 Ga 2.68-2.71, 2 Bi 2.87
Ti 0.8047 0.9952 0.5000  3 Ga 2.68-2.71, 2 Bi 2.87
Ti 0.9952 0.4952 0.1905  3 Ga 2.68-2.71, 2 Bi 2.87
Ga 0.1406 0.3594 0.5000  8 Ti 2.67-2.71, 1 Ga 2.75
Ga 0.3594 0.8594 0.2189  8 Ti 2.67-2.71, 1 Ga 2.75
Ga 0.6406 0.1406 0.7811  8 Ti 2.67-2.71, 1 Ga 2.75
Ga 0.8594 0.6406 0.5000  8 Ti 2.67-2.71, 1 Ga 2.75
Bi 0.2500 0.2500 0.0000  10 Ti 2.87-2.96
Bi 0.7500 0.7500 0.0000  10 Ti 2.87-2.96

## Properties
ΔE_f ... -0.309 eV per atom
V ... 17.70 A^3/atom